Below is a geometry-optimized CoCuO2 structure, with properties calculated at the GGA-PBEsol level.

Cell: 2.8151 2.8151 16.8121 Å, 90.00 90.00 120.00°
Space group R-3m (No. 166, hexagonal axes)
Asymmetric unit:
Co 0.0000 0.0000 0.0000 (multiplicity 3)
Cu 0.0000 0.0000 0.5000 (multiplicity 3)
O 0.0000 0.0000 0.3908 (multiplicity 6)

Values from the calculation:
**Mass density**: 6.67 g/cm³
**Total DFT energy (no corrections)**: -6.533 eV/atom
**Energy relative to the elements, uncorrected**: -891 meV/atom